(1)
## CrSbPt6 (PBE-GGA)

Data for crystalline CrSbPt6 at its relaxed geometry.

Geometry as POSCAR:
```
CrSbPt6
1.0
3.988 0.000 0.000
0.000 3.988 0.000
0.000 0.000 8.077
Cr Sb Pt
1 1 6
Cartesian
0.000 0.000 0.000
0.000 0.000 4.038
0.000 1.994 1.931
0.000 1.994 6.145
1.994 0.000 1.931
1.994 0.000 6.145
1.994 1.994 0.000
1.994 1.994 4.038
```

total DFT energy (no corrections) = -51.75 eV for the cell shown
energy relative to the elements, uncorrected = -0.220 eV per atom
calculated volume = 16.1 Å³ per atom
total magnetization = 3.51 μB/f.u.

=====

(2)
## CrSbPt2 (PBE-GGA)

Data for crystalline CrSbPt2 at its relaxed geometry.

Geometry as POSCAR:
```
CrSbPt2
1.0
2.815 -3.247 0.000
2.815 3.247 0.000
0.000 0.000 3.723
Cr Sb Pt
1 1 2
Cartesian
0.000 0.000 0.000
2.815 0.000 0.000
1.407 1.623 1.862
1.407 -1.623 1.862
```

total DFT energy (no corrections) = -26.49 eV for the cell shown
energy relative to the elements, uncorrected = -0.166 eV per atom
calculated volume = 17.0 Å³ per atom
total magnetization = 3.39 μB/f.u.

=====

(3)
## CrSb3Pt (PBE-GGA)

Data for crystalline CrSb3Pt at its relaxed geometry.

Geometry as POSCAR:
```
CrSb3Pt
1.0
4.910 0.000 0.000
0.000 4.910 0.000
0.000 0.000 4.910
Cr Sb Pt
1 3 1
Cartesian
0.000 0.000 0.000
0.000 0.000 2.455
0.000 2.455 0.000
2.455 0.000 0.000
2.455 2.455 2.455
```

total DFT energy (no corrections) = -25.37 eV for the cell shown
energy relative to the elements, uncorrected = 0.532 eV per atom
calculated volume = 23.7 Å³ per atom
total magnetization = 0.00 μB/f.u.

=====

(4)
## TaCrSb2Pt (PBE-GGA)

Data for crystalline TaCrSb2Pt at its relaxed geometry.

Geometry as POSCAR:
```
TaCrSb2Pt
1.0
5.152 0.000 0.000
0.000 5.152 0.000
0.000 0.000 4.943
Ta Cr Sb Pt
1 1 2 1
Cartesian
0.000 0.000 0.000
2.576 2.576 0.000
0.000 2.576 2.472
2.576 0.000 2.472
0.000 0.000 2.472
```

total DFT energy (no corrections) = -28.01 eV for the cell shown
energy relative to the elements, uncorrected = 1.551 eV per atom
calculated volume = 26.2 Å³ per atom
total magnetization = 0.89 μB/f.u.

=====

(5)
## CrSb2TePt (PBE-GGA)

Data for crystalline CrSb2TePt at its relaxed geometry.

Geometry as POSCAR:
```
CrSb2TePt
1.0
5.320 0.000 0.000
0.000 5.320 0.000
0.000 0.000 4.738
Cr Sb Te Pt
1 2 1 1
Cartesian
0.000 0.000 0.000
0.000 2.660 2.369
2.660 0.000 2.369
2.660 2.660 0.000
0.000 0.000 2.369
```

total DFT energy (no corrections) = -23.03 eV for the cell shown
energy relative to the elements, uncorrected = 0.804 eV per atom
calculated volume = 26.8 Å³ per atom
total magnetization = 0.06 μB/f.u.

=====

(6)
## CrSb2TePt (PBE-GGA)

Data for crystalline CrSb2TePt at its relaxed geometry.

Geometry as POSCAR:
```
CrSb2TePt
1.0
4.948 0.000 0.000
0.000 4.948 0.000
0.000 0.000 4.909
Cr Sb Te Pt
1 2 1 1
Cartesian
0.000 0.000 0.000
0.000 2.474 0.000
2.474 0.000 0.000
0.000 0.000 2.454
2.474 2.474 2.454
```

total DFT energy (no corrections) = -23.89 eV for the cell shown
energy relative to the elements, uncorrected = 0.632 eV per atom
calculated volume = 24.0 Å³ per atom
total magnetization = 0.00 μB/f.u.

=====

(7)
## Zr2CrSbPt (PBE-GGA)

Data for crystalline Zr2CrSbPt at its relaxed geometry.

Geometry as POSCAR:
```
Zr2CrSbPt
1.0
5.251 0.000 0.000
0.000 5.251 0.000
0.000 0.000 4.736
Zr Cr Sb Pt
2 1 1 1
Cartesian
0.000 2.625 0.000
2.625 0.000 0.000
0.000 0.000 2.368
0.000 0.000 0.000
2.625 2.625 2.368
```

total DFT energy (no corrections) = -32.14 eV for the cell shown
energy relative to the elements, uncorrected = 0.948 eV per atom
calculated volume = 26.1 Å³ per atom
total magnetization = 3.08 μB/f.u.

=====

(8)
## ScCrPt2 (PBE-GGA)

Data for crystalline ScCrPt2 at its relaxed geometry.

Geometry as POSCAR:
```
ScCrPt2
1.0
1.476 0.852 8.776
-1.476 0.852 8.776
0.000 -1.705 8.776
Sc Cr Pt
1 1 2
Cartesian
0.000 0.000 0.000
0.000 0.000 13.164
0.000 0.000 6.539
0.000 0.000 19.789
```

total DFT energy (no corrections) = -29.04 eV for the cell shown
calculated volume = 16.6 Å³ per atom
total magnetization = 3.46 μB/f.u.
energy relative to the elements = -0.25 eV per atom

=====

(9)
## ScCr3Pt (PBE-GGA)

Data for crystalline ScCr3Pt at its relaxed geometry.

Geometry as POSCAR:
```
ScCr3Pt
1.0
4.820 0.000 0.000
0.000 4.820 0.000
0.000 0.000 4.820
Sc Cr Pt
1 3 1
Cartesian
0.000 0.000 0.000
0.000 2.410 2.410
2.410 0.000 2.410
2.410 2.410 0.000
2.410 2.410 2.410
```

total DFT energy (no corrections) = -36.38 eV for the cell shown
calculated volume = 22.4 Å³ per atom
total magnetization = 10.84 μB/f.u.
energy relative to the elements = 0.97 eV per atom

=====

(10)
## Sc2CrPt9 (PBE-GGA)

Data for crystalline Sc2CrPt9 at its relaxed geometry.

Geometry as POSCAR:
```
Sc2CrPt9
1.0
3.973 0.000 0.000
0.000 3.973 0.000
0.000 0.000 11.969
Sc Cr Pt
2 1 9
Cartesian
0.000 0.000 2.010
0.000 0.000 9.958
0.000 0.000 5.984
0.000 1.986 0.000
0.000 1.986 4.052
0.000 1.986 7.916
1.986 0.000 0.000
1.986 0.000 4.052
1.986 0.000 7.916
1.986 1.986 2.023
1.986 1.986 5.984
1.986 1.986 9.945
```

total DFT energy (no corrections) = -86.09 eV for the cell shown
calculated volume = 15.7 Å³ per atom
total magnetization = 2.17 μB/f.u.
energy relative to the elements = -0.79 eV per atom

=====

(11)
## ScCr2Pt2 (PBE-GGA)

Data for crystalline ScCr2Pt2 at its relaxed geometry.

Geometry as POSCAR:
```
ScCr2Pt2
1.0
-1.690 1.690 6.893
1.690 -1.690 6.893
1.690 1.690 -6.893
Sc Cr Pt
1 2 2
Cartesian
0.000 0.000 0.000
1.690 0.000 3.446
0.000 1.690 3.446
0.000 0.000 5.500
0.000 0.000 8.285
```

total DFT energy (no corrections) = -39.16 eV for the cell shown
calculated volume = 15.7 Å³ per atom
total magnetization = 0.00 μB/f.u.
energy relative to the elements = -0.30 eV per atom

=====

(12)
## Sc4CrPt (PBE-GGA)

Data for crystalline Sc4CrPt at its relaxed geometry.

Geometry as POSCAR:
```
Sc4CrPt
1.0
0.000 3.916 3.916
3.916 0.000 3.916
3.916 3.916 0.000
Sc Cr Pt
4 1 1
Cartesian
0.982 0.982 0.982
2.934 2.934 0.982
2.934 0.982 2.934
0.982 2.934 2.934
5.874 5.874 5.874
3.916 3.916 3.916
```

total DFT energy (no corrections) = -39.12 eV for the cell shown
calculated volume = 20.0 Å³ per atom
total magnetization = 2.60 μB/f.u.
energy relative to the elements = 0.31 eV per atom

=====

(13)
## ScCrPt2 (PBE-GGA)

Data for crystalline ScCrPt2 at its relaxed geometry.

Geometry as POSCAR:
```
ScCrPt2
1.0
-2.109 2.109 3.676
2.109 -2.109 3.676
2.109 2.109 -3.676
Sc Cr Pt
1 1 2
Cartesian
0.000 0.000 0.000
0.000 0.000 3.676
2.109 0.000 1.838
0.000 2.109 1.838
```

total DFT energy (no corrections) = -30.82 eV for the cell shown
calculated volume = 16.4 Å³ per atom
total magnetization = 4.07 μB/f.u.
energy relative to the elements = -0.70 eV per atom

=====

(14)
## Sc2Cr2Pt (PBE-GGA)

Data for crystalline Sc2Cr2Pt at its relaxed geometry.

Geometry as POSCAR:
```
Sc2Cr2Pt
1.0
7.597 0.000 0.000
0.000 7.597 0.000
0.000 0.000 3.056
Sc Cr Pt
4 4 2
Cartesian
1.507 2.292 0.000
2.292 6.090 0.000
5.306 1.507 0.000
6.090 5.306 0.000
0.669 4.468 1.528
3.129 0.669 1.528
4.468 6.928 1.528
6.928 3.129 1.528
0.000 0.000 0.000
3.799 3.799 0.000
```

total DFT energy (no corrections) = -73.25 eV for the cell shown
calculated volume = 17.6 Å³ per atom
total magnetization = 0.50 μB/f.u.
energy relative to the elements = 0.26 eV per atom

=====

(15)
## ScCr2Pt2 (PBE-GGA)

Data for crystalline ScCr2Pt2 at its relaxed geometry.

Geometry as POSCAR:
```
ScCr2Pt2
1.0
7.490 0.000 0.000
0.000 7.490 0.000
0.000 0.000 2.747
Sc Cr Pt
2 4 4
Cartesian
0.000 0.000 0.000
3.745 3.745 0.000
0.713 3.032 0.000
3.032 6.777 0.000
4.458 0.713 0.000
6.777 4.458 0.000
1.456 5.201 1.374
2.289 1.456 1.374
5.201 6.034 1.374
6.034 2.289 1.374
```

total DFT energy (no corrections) = -78.17 eV for the cell shown
calculated volume = 15.4 Å³ per atom
total magnetization = 0.22 μB/f.u.
energy relative to the elements = -0.28 eV per atom

=====

(16)
## ScCrPt2 (PBE-GGA)

Data for crystalline ScCrPt2 at its relaxed geometry.

Geometry as POSCAR:
```
ScCrPt2
1.0
2.958 0.000 0.000
0.000 2.958 0.000
0.000 0.000 7.345
Sc Cr Pt
1 1 2
Cartesian
0.000 0.000 0.000
1.479 1.479 1.992
0.000 0.000 3.442
1.479 1.479 5.496
```

total DFT energy (no corrections) = -29.22 eV for the cell shown
calculated volume = 16.1 Å³ per atom
total magnetization = 0.81 μB/f.u.
energy relative to the elements = -0.30 eV per atom

=====

(17)
## ScCrPt2 (PBE-GGA)

Data for crystalline ScCrPt2 at its relaxed geometry.

Geometry as POSCAR:
```
ScCrPt2
1.0
3.250 0.000 0.000
0.000 3.475 0.000
0.000 0.000 5.833
Sc Cr Pt
1 1 2
Cartesian
0.000 0.000 0.000
0.000 0.000 2.916
1.625 1.738 1.511
1.625 1.738 4.322
```

total DFT energy (no corrections) = -30.70 eV for the cell shown
calculated volume = 16.5 Å³ per atom
total magnetization = 3.89 μB/f.u.
energy relative to the elements = -0.67 eV per atom

=====

(18)
## Sc2Cr2Pt (PBE-GGA)

Data for crystalline Sc2Cr2Pt at its relaxed geometry.

Geometry as POSCAR:
```
Sc2Cr2Pt
1.0
-1.630 1.630 8.093
1.630 -1.630 8.093
1.630 1.630 -8.093
Sc Cr Pt
2 2 1
Cartesian
0.000 0.000 1.701
0.000 0.000 14.486
1.630 0.000 4.047
0.000 1.630 4.047
0.000 0.000 8.093
```

total DFT energy (no corrections) = -38.54 eV for the cell shown
calculated volume = 17.2 Å³ per atom
total magnetization = 0.00 μB/f.u.
energy relative to the elements = -0.12 eV per atom

=====

(19)
## ScCrPt2 (PBE-GGA)

Data for crystalline ScCrPt2 at its relaxed geometry.

Geometry as POSCAR:
```
ScCrPt2
1.0
4.797 -1.507 0.000
4.797 1.507 0.000
-0.912 0.000 4.598
Sc Cr Pt
1 1 2
Cartesian
0.000 0.000 0.000
1.619 0.000 3.033
4.277 0.000 2.315
6.958 0.000 0.828
```

total DFT energy (no corrections) = -30.32 eV for the cell shown
calculated volume = 16.6 Å³ per atom
total magnetization = 3.57 μB/f.u.
energy relative to the elements = -0.57 eV per atom

=====

(20)
## ScCrPt3 (PBE-GGA)

Data for crystalline ScCrPt3 at its relaxed geometry.

Geometry as POSCAR:
```
ScCrPt3
1.0
4.608 0.000 0.000
0.000 4.608 0.000
0.000 0.000 4.608
Sc Cr Pt
1 1 3
Cartesian
0.000 0.000 0.000
2.304 2.304 2.304
0.000 2.304 2.304
2.304 0.000 2.304
2.304 2.304 0.000
```

total DFT energy (no corrections) = -33.00 eV for the cell shown
calculated volume = 19.6 Å³ per atom
total magnetization = 0.00 μB/f.u.
energy relative to the elements = 0.22 eV per atom

=====

(21)
## ScCrPt3 (PBE-GGA)

Data for crystalline ScCrPt3 at its relaxed geometry.

Geometry as POSCAR:
```
ScCrPt3
1.0
4.741 0.000 0.000
0.000 4.741 0.000
0.000 0.000 4.741
Sc Cr Pt
1 1 3
Cartesian
0.000 0.000 0.000
2.371 2.371 2.371
0.000 0.000 2.371
0.000 2.371 0.000
2.371 0.000 0.000
```

total DFT energy (no corrections) = -28.62 eV for the cell shown
calculated volume = 21.3 Å³ per atom
total magnetization = 0.56 μB/f.u.
energy relative to the elements = 1.09 eV per atom

=====

(22)
## Sc2Cr2Pt (PBE-GGA)

Data for crystalline Sc2Cr2Pt at its relaxed geometry.

Geometry as POSCAR:
```
Sc2Cr2Pt
1.0
6.397 0.000 0.000
0.000 6.397 0.000
0.000 0.000 4.190
Sc Cr Pt
4 4 2
Cartesian
1.163 2.036 0.000
2.036 5.234 0.000
4.361 1.163 0.000
5.234 4.361 0.000
0.687 3.886 2.095
2.511 0.687 2.095
3.886 5.710 2.095
5.710 2.511 2.095
0.000 0.000 2.095
3.198 3.198 2.095
```

total DFT energy (no corrections) = -77.41 eV for the cell shown
calculated volume = 17.1 Å³ per atom
total magnetization = 0.00 μB/f.u.
energy relative to the elements = -0.15 eV per atom

=====

(23)
## ScCrPt2 (PBE-GGA)

Data for crystalline ScCrPt2 at its relaxed geometry.

Geometry as POSCAR:
```
ScCrPt2
1.0
0.000 3.213 3.213
3.213 0.000 3.213
3.213 3.213 0.000
Sc Cr Pt
1 1 2
Cartesian
0.000 0.000 0.000
3.213 3.213 3.213
1.606 1.606 1.606
4.819 4.819 4.819
```

total DFT energy (no corrections) = -30.73 eV for the cell shown
calculated volume = 16.6 Å³ per atom
total magnetization = 4.00 μB/f.u.
energy relative to the elements = -0.67 eV per atom

=====

(24)
## ScCrPt2 (PBE-GGA)

Data for crystalline ScCrPt2 at its relaxed geometry.

Geometry as POSCAR:
```
ScCrPt2
1.0
3.483 0.000 0.000
0.000 3.483 0.000
0.000 0.000 5.627
Sc Cr Pt
1 1 2
Cartesian
0.000 0.000 0.000
1.742 1.742 1.832
0.000 0.000 2.708
1.742 1.742 4.499
```

total DFT energy (no corrections) = -30.14 eV for the cell shown
calculated volume = 17.1 Å³ per atom
total magnetization = 3.15 μB/f.u.
energy relative to the elements = -0.52 eV per atom

=====

(25)
## ScCrPt2 (PBE-GGA)

Data for crystalline ScCrPt2 at its relaxed geometry.

Geometry as POSCAR:
```
ScCrPt2
1.0
-1.956 1.956 4.281
1.956 -1.956 4.281
1.956 1.956 -4.281
Sc Cr Pt
1 1 2
Cartesian
0.000 0.000 0.000
0.000 1.956 2.140
1.956 0.000 2.140
0.000 0.000 4.281
```

total DFT energy (no corrections) = -30.68 eV for the cell shown
calculated volume = 16.4 Å³ per atom
total magnetization = 4.10 μB/f.u.
energy relative to the elements = -0.66 eV per atom

=====

(26)
## ScCr3Pt (PBE-GGA)

Data for crystalline ScCr3Pt at its relaxed geometry.

Geometry as POSCAR:
```
ScCr3Pt
1.0
4.232 0.000 0.000
0.000 4.232 0.000
0.000 0.000 4.232
Sc Cr Pt
1 3 1
Cartesian
0.000 0.000 0.000
0.000 0.000 2.116
0.000 2.116 0.000
2.116 0.000 0.000
2.116 2.116 2.116
```

total DFT energy (no corrections) = -32.49 eV for the cell shown
calculated volume = 15.2 Å³ per atom
total magnetization = 0.00 μB/f.u.
energy relative to the elements = 1.75 eV per atom

=====

(27)
## ScCrPt2 (PBE-GGA)

Data for crystalline ScCrPt2 at its relaxed geometry.

Geometry as POSCAR:
```
ScCrPt2
1.0
-1.987 1.987 8.751
1.987 -1.987 8.751
1.987 1.987 -8.751
Sc Cr Pt
2 2 4
Cartesian
0.000 0.000 0.000
0.000 1.987 4.376
1.987 0.000 4.376
0.000 0.000 8.751
0.993 -0.933 6.563
1.054 0.993 2.188
0.993 2.920 -2.188
0.933 0.993 10.939
```

total DFT energy (no corrections) = -56.23 eV for the cell shown
calculated volume = 17.3 Å³ per atom
total magnetization = 0.00 μB/f.u.
energy relative to the elements = -0.02 eV per atom

=====

(28)
## ScCr4Pt (PBE-GGA)

Data for crystalline ScCr4Pt at its relaxed geometry.

Geometry as POSCAR:
```
ScCr4Pt
1.0
0.000 3.450 3.450
3.450 0.000 3.450
3.450 3.450 0.000
Sc Cr Pt
1 4 1
Cartesian
0.000 0.000 0.000
2.570 2.570 2.570
4.330 4.330 2.570
4.330 2.570 4.330
2.570 4.330 4.330
5.175 5.175 5.175
```

total DFT energy (no corrections) = -51.14 eV for the cell shown
calculated volume = 13.7 Å³ per atom
total magnetization = 0.00 μB/f.u.
energy relative to the elements = -0.05 eV per atom